Entry 1:
Computed, not measured: crystalline LaCdCo2 at its relaxed geometry at the PBEsol level of DFT.

Calculated values
The value obtained for the formation energy is 0.297 eV/atom.

a b c (Å): 3.3671 3.3671 6.3368
angles (deg): 90.00 90.00 90.00
Last column: nearest neighbours and their distance in Å.
Element x y z (fractional)
La1 0.0000 0.0000 0.0000  8 Co 3.08, 2 Cd 3.17, 4 La 3.37
Cd1 0.0000 0.0000 0.5000  8 Co 2.67
Co1 0.5000 0.5000 0.3087  1 Co 2.42, 4 Cd 2.67
Co2 0.5000 0.5000 0.6913  1 Co 2.42, 4 Cd 2.67


Entry 2:
Computed, not measured: crystalline LaCdCo2 at its relaxed geometry at the PBEsol level of DFT.

Calculated values
The value obtained for the formation energy is 0.498 eV/atom.

a b c (Å): 6.6986 6.6986 6.6986
angles (deg): 90.00 90.00 90.00
Last column: nearest neighbours and their distance in Å.
Element x y z (fractional)
La1 0.0000 0.0000 0.0000  4 Cd 2.90, 4 Co 2.90
La2 0.0000 0.5000 0.5000  4 Cd 2.90, 4 Co 2.90
La3 0.5000 0.0000 0.5000  4 Cd 2.90, 4 Co 2.90
La4 0.5000 0.5000 0.0000  4 Cd 2.90, 4 Co 2.90
Cd1 0.2500 0.2500 0.7500  4 La 2.90, 4 Co 2.90
Cd2 0.2500 0.7500 0.2500  4 La 2.90, 4 Co 2.90
Cd3 0.7500 0.2500 0.2500  4 La 2.90, 4 Co 2.90
Cd4 0.7500 0.7500 0.7500  4 La 2.90, 4 Co 2.90
Co1 0.0000 0.0000 0.5000  4 Co 2.90, 4 Cd 2.90
Co2 0.0000 0.5000 0.0000  4 Co 2.90, 4 Cd 2.90
Co3 0.2500 0.2500 0.2500  4 La 2.90, 4 Co 2.90
Co4 0.2500 0.7500 0.7500  4 La 2.90, 4 Co 2.90
Co5 0.5000 0.0000 0.0000  4 Co 2.90, 4 Cd 2.90
Co6 0.5000 0.5000 0.5000  4 Co 2.90, 4 Cd 2.90
Co7 0.7500 0.2500 0.7500  4 La 2.90, 4 Co 2.90
Co8 0.7500 0.7500 0.2500  4 La 2.90, 4 Co 2.90


Entry 3:
Computed, not measured: crystalline LiCd2Co at its relaxed geometry at the PBEsol level of DFT.

Calculated values
The value obtained for the formation energy is 0.191 eV/atom.

a b c (Å): 6.3115 6.3115 6.3115
angles (deg): 90.00 90.00 90.00
Last column: nearest neighbours and their distance in Å.
Element x y z (fractional)
Li1 0.0000 0.0000 0.0000  4 Cd 2.73, 4 Co 2.73
Li2 0.0000 0.5000 0.5000  4 Cd 2.73, 4 Co 2.73
Li3 0.5000 0.0000 0.5000  4 Cd 2.73, 4 Co 2.73
Li4 0.5000 0.5000 0.0000  4 Cd 2.73, 4 Co 2.73
Cd1 0.0000 0.0000 0.5000  4 Co 2.73, 4 Cd 2.73
Cd2 0.0000 0.5000 0.0000  4 Co 2.73, 4 Cd 2.73
Cd3 0.2500 0.2500 0.2500  4 Cd 2.73, 4 Li 2.73
Cd4 0.2500 0.7500 0.7500  4 Cd 2.73, 4 Li 2.73
Cd5 0.5000 0.0000 0.0000  4 Co 2.73, 4 Cd 2.73
Cd6 0.5000 0.5000 0.5000  4 Co 2.73, 4 Cd 2.73
Cd7 0.7500 0.2500 0.7500  4 Cd 2.73, 4 Li 2.73
Cd8 0.7500 0.7500 0.2500  4 Cd 2.73, 4 Li 2.73
Co1 0.2500 0.2500 0.7500  4 Cd 2.73, 4 Li 2.73
Co2 0.2500 0.7500 0.2500  4 Cd 2.73, 4 Li 2.73
Co3 0.7500 0.2500 0.2500  4 Cd 2.73, 4 Li 2.73
Co4 0.7500 0.7500 0.7500  4 Cd 2.73, 4 Li 2.73


Question: The lowest formation energy belongs to which entry?
Answer: LiCd2Co


Question: Which formula does entry 1 have?
Answer: LaCdCo2


Question: formation energy of number 2 (LaCdCo2)?
Answer: 0.498 eV/atom


Question: Which value of formation energy does entry 2 give?
Answer: 0.498 eV/atom